This record from Alexandria describes an optimized crystal structure of VBi3F. The functional is PBE+U.

POSCAR file:
```
VBi3F
1.0
5.2126 0.0000 0.0000
0.0000 5.2126 0.0000
0.0000 0.0000 5.2126
V Bi F
1 3 1
direct
0.0000 0.0000 0.0000
0.0000 0.0000 0.5000
0.0000 0.5000 0.0000
0.5000 0.0000 0.0000
0.5000 0.5000 0.5000
```

E above lowest polymorph   166 meV per atom
Fermi-level density of states   1.17 states/eV per cell
Crystal system   cubic